Entry 1:
! RbCa2InPd GGA-PBE relaxed; values from VASP
! SG: P4/mmm
! Formation enthalpy at 0 K in meV/atom: -268
&SYSTEM
  ibrav = 0, nat = 5, ntyp = 4
/
ATOMIC_SPECIES
Ca 40.08 Ca.upf
Pd 106.42 Pd.upf
In 114.82 In.upf
Rb 85.47 Rb.upf
CELL_PARAMETERS angstrom
-1.478 -0.870 -5.458
-1.366 -5.417 1.233
-5.023 1.521 1.118
ATOMIC_POSITIONS crystal
Ca 0.000 0.500 0.000
Pd 0.000 0.000 0.000
In 0.000 0.000 0.500
Ca 0.500 0.000 0.000
Rb 0.500 0.500 0.500

***

Entry 2:
! CaIn4Pd2Rh GGA-PBE relaxed; values from VASP
! SG: R-3m
! Formation enthalpy at 0 K in meV/atom: -449
&SYSTEM
  ibrav = 0, nat = 8, ntyp = 4
/
ATOMIC_SPECIES
In 114.82 In.upf
Pd 106.42 Pd.upf
Ca 40.08 Ca.upf
Rh 102.91 Rh.upf
CELL_PARAMETERS angstrom
4.552 0.000 0.000
2.276 3.943 0.000
2.276 1.314 9.561
ATOMIC_POSITIONS crystal
In 0.867 0.867 0.399
Pd 0.766 0.766 0.703
In 0.600 0.600 0.199
Ca 0.000 0.000 0.000
Pd 0.234 0.234 0.297
Rh 0.500 0.500 0.500
In 0.133 0.133 0.601
In 0.400 0.400 0.801

***

Entry 3:
! Ca2In6PdRh GGA-PBE relaxed; values from VASP
! SG: Fm-3m
! Formation enthalpy at 0 K in meV/atom: -245
&SYSTEM
  ibrav = 0, nat = 10, ntyp = 4
/
ATOMIC_SPECIES
In 114.82 In.upf
Ca 40.08 Ca.upf
Rh 102.91 Rh.upf
Pd 106.42 Pd.upf
CELL_PARAMETERS angstrom
7.294 0.000 0.000
0.000 7.294 0.000
3.647 3.647 5.157
ATOMIC_POSITIONS crystal
In 0.249 0.751 0.000
In 0.751 0.751 0.499
Ca 0.250 0.750 0.500
Ca 0.750 0.250 0.500
Rh 0.000 0.000 0.000
In 0.751 0.751 0.000
In 0.249 0.249 0.000
In 0.249 0.249 0.501
Pd 0.500 0.500 0.000
In 0.751 0.249 0.000

***

Entry 4:
! CaIn4PdRh2 GGA-PBE relaxed; values from VASP
! SG: R-3m
! Formation enthalpy at 0 K in meV/atom: -375
&SYSTEM
  ibrav = 0, nat = 8, ntyp = 4
/
ATOMIC_SPECIES
Pd 106.42 Pd.upf
In 114.82 In.upf
Rh 102.91 Rh.upf
Ca 40.08 Ca.upf
CELL_PARAMETERS angstrom
4.768 0.000 0.000
2.384 4.129 0.000
2.384 1.376 7.806
ATOMIC_POSITIONS crystal
Pd 0.500 0.500 0.500
In 0.133 0.133 0.601
In 0.383 0.383 0.850
In 0.617 0.617 0.150
Rh 0.745 0.745 0.764
In 0.867 0.867 0.399
Ca 0.000 0.000 0.000
Rh 0.255 0.255 0.236

***

Entry 5:
! Ca2InSb3Pd4 GGA-PBE relaxed; values from VASP
! SG: P-4m2
! Raw formation energy in eV/atom: -0.707
&SYSTEM
  ibrav = 0, nat = 10, ntyp = 4
/
ATOMIC_SPECIES
In 114.82 In.upf
Pd 106.42 Pd.upf
Sb 121.76 Sb.upf
Ca 40.08 Ca.upf
CELL_PARAMETERS angstrom
4.522 0.000 0.000
0.000 4.522 0.000
0.000 0.000 11.133
ATOMIC_POSITIONS crystal
In 0.500 0.500 0.500
Pd 0.000 0.000 0.000
Sb 0.000 0.500 0.130
Pd 0.000 0.500 0.363
Sb 0.500 0.000 0.870
Pd 0.500 0.500 0.000
Sb 0.000 0.000 0.500
Pd 0.500 0.000 0.637
Ca 0.500 0.000 0.235
Ca 0.000 0.500 0.765

***

Entry 6:
! Ca3In2SbPd8 GGA-PBE relaxed; values from VASP
! SG: P-3m1
! Raw formation energy in eV/atom: -0.577
&SYSTEM
  ibrav = 0, nat = 14, ntyp = 4
/
ATOMIC_SPECIES
Pd 106.42 Pd.upf
In 114.82 In.upf
Sb 121.76 Sb.upf
Ca 40.08 Ca.upf
CELL_PARAMETERS angstrom
5.537 0.000 0.000
-2.769 4.796 0.000
0.000 0.000 10.588
ATOMIC_POSITIONS crystal
Pd 0.334 0.167 0.707
Pd 0.333 0.667 0.844
Pd 0.833 0.666 0.707
Pd 0.667 0.333 0.156
In 0.667 0.333 0.910
Sb 0.000 0.000 0.500
Ca 0.000 0.000 0.000
In 0.333 0.667 0.090
Ca 0.333 0.667 0.570
Pd 0.167 0.334 0.293
Pd 0.833 0.167 0.707
Ca 0.667 0.333 0.430
Pd 0.666 0.833 0.293
Pd 0.167 0.833 0.293

***

Entry 7:
! Ca2InSbPd GGA-PBE relaxed; values from VASP
! SG: P4/mmm
! Raw formation energy in eV/atom: -0.432
&SYSTEM
  ibrav = 0, nat = 5, ntyp = 4
/
ATOMIC_SPECIES
Ca 40.08 Ca.upf
Sb 121.76 Sb.upf
Pd 106.42 Pd.upf
In 114.82 In.upf
CELL_PARAMETERS angstrom
5.506 0.000 0.000
0.000 5.071 0.000
0.000 0.000 5.506
ATOMIC_POSITIONS crystal
Ca 0.500 0.000 0.000
Sb 0.000 0.500 0.000
Ca 0.000 0.000 0.500
Pd 0.000 0.000 0.000
In 0.500 0.500 0.500

***

Entry 8:
! Ca3InSb2Pd9 GGA-PBE relaxed; values from VASP
! SG: P-3m1
! Raw formation energy in eV/atom: -0.426
&SYSTEM
  ibrav = 0, nat = 15, ntyp = 4
/
ATOMIC_SPECIES
Sb 121.76 Sb.upf
Pd 106.42 Pd.upf
Ca 40.08 Ca.upf
In 114.82 In.upf
CELL_PARAMETERS angstrom
6.774 0.000 0.000
-3.387 5.867 0.000
0.000 0.000 9.448
ATOMIC_POSITIONS crystal
Sb 0.667 0.333 0.815
Pd 0.132 0.264 0.266
Pd 0.868 0.132 0.734
Pd 0.868 0.736 0.734
Pd 0.132 0.868 0.266
Ca 0.000 0.000 0.000
Sb 0.333 0.667 0.185
In 0.000 0.000 0.500
Ca 0.667 0.333 0.253
Ca 0.333 0.667 0.747
Pd 0.000 0.500 0.000
Pd 0.736 0.868 0.266
Pd 0.500 0.000 0.000
Pd 0.264 0.132 0.734
Pd 0.500 0.500 0.000

***

Entry 9:
! Ca2InSbPd6 GGA-PBE relaxed; values from VASP
! SG: Fm-3m
! Raw formation energy in eV/atom: -0.151
&SYSTEM
  ibrav = 0, nat = 10, ntyp = 4
/
ATOMIC_SPECIES
Pd 106.42 Pd.upf
In 114.82 In.upf
Sb 121.76 Sb.upf
Ca 40.08 Ca.upf
CELL_PARAMETERS angstrom
7.045 0.000 0.000
0.000 7.045 0.000
3.523 3.522 4.982
ATOMIC_POSITIONS crystal
Pd 0.752 0.752 0.496
Pd 0.248 0.752 0.000
In 0.500 0.500 0.000
Sb 0.000 0.000 0.000
Pd 0.248 0.248 0.000
Pd 0.248 0.248 0.504
Ca 0.750 0.250 0.500
Ca 0.250 0.750 0.500
Pd 0.752 0.752 0.000
Pd 0.752 0.248 0.000

***

Entry 10:
! CaInSi2Pd GGA-PBE relaxed; values from VASP
! SG: P4/mmm
! Raw formation energy in eV/atom: 1.383
&SYSTEM
  ibrav = 0, nat = 5, ntyp = 4
/
ATOMIC_SPECIES
In 114.82 In.upf
Pd 106.42 Pd.upf
Ca 40.08 Ca.upf
Si 28.09 Si.upf
CELL_PARAMETERS angstrom
-1.741 -1.737 -4.581
2.539 -4.920 0.901
-4.297 -1.794 2.314
ATOMIC_POSITIONS crystal
In 0.000 0.500 0.000
Pd 0.500 0.500 0.500
Ca 0.000 0.000 0.000
Si 0.500 0.000 0.000
Si 0.000 0.000 0.500

***

Entry 11:
! Ca3InSi2Pd9 GGA-PBE relaxed; values from VASP
! SG: P-3m1
! Raw formation energy in eV/atom: -0.581
&SYSTEM
  ibrav = 0, nat = 15, ntyp = 4
/
ATOMIC_SPECIES
Si 28.09 Si.upf
Pd 106.42 Pd.upf
Ca 40.08 Ca.upf
In 114.82 In.upf
CELL_PARAMETERS angstrom
-4.132 4.216 0.500
-0.975 -5.386 2.266
4.279 3.102 9.214
ATOMIC_POSITIONS crystal
Si 0.667 0.333 0.843
Pd 0.691 0.846 0.288
Ca 0.333 0.667 0.740
Pd 0.846 0.154 0.712
Ca 0.667 0.333 0.260
Pd 0.154 0.309 0.288
Ca 0.000 0.000 0.000
Si 0.333 0.667 0.157
Pd 0.309 0.154 0.712
Pd 0.154 0.846 0.288
Pd 0.846 0.691 0.712
Pd 0.500 0.000 0.000
Pd 0.500 0.500 0.000
In 0.000 0.000 0.500
Pd 0.000 0.500 0.000

***

Entry 12:
! Ca2InSi3Pd4 GGA-PBE relaxed; values from VASP
! SG: P-4m2
! Raw formation energy in eV/atom: -0.695
&SYSTEM
  ibrav = 0, nat = 10, ntyp = 4
/
ATOMIC_SPECIES
Pd 106.42 Pd.upf
Si 28.09 Si.upf
In 114.82 In.upf
Ca 40.08 Ca.upf
CELL_PARAMETERS angstrom
4.229 0.000 0.000
0.000 4.229 0.000
0.000 0.000 10.561
ATOMIC_POSITIONS crystal
Pd 0.500 0.000 0.653
Si 0.000 0.000 0.500
Si 0.500 0.000 0.879
Pd 0.000 0.500 0.347
Pd 0.500 0.500 0.000
In 0.500 0.500 0.500
Ca 0.000 0.500 0.759
Si 0.000 0.500 0.121
Ca 0.500 0.000 0.241
Pd 0.000 0.000 0.000

***

Entry 13:
! CaSmInPd GGA-PBE relaxed; values from VASP
! SG: F-43m
! Formation enthalpy at 0 K in meV/atom: -543
&SYSTEM
  ibrav = 0, nat = 4, ntyp = 4
/
ATOMIC_SPECIES
Sm 150.36 Sm.upf
In 114.82 In.upf
Ca 40.08 Ca.upf
Pd 106.42 Pd.upf
CELL_PARAMETERS angstrom
-3.050 -4.256 -0.095
1.891 -4.536 -1.808
0.922 -3.956 3.305
ATOMIC_POSITIONS crystal
Sm 0.250 0.250 0.250
In 0.500 0.500 0.500
Ca 0.750 0.750 0.750
Pd 0.000 0.000 0.000

***

Entry 14:
! CaInSn2Pd4 GGA-PBE relaxed; values from VASP
! SG: R-3m
! Formation enthalpy at 0 K in meV/atom: -592
&SYSTEM
  ibrav = 0, nat = 8, ntyp = 4
/
ATOMIC_SPECIES
Pd 106.42 Pd.upf
Sn 118.71 Sn.upf
Ca 40.08 Ca.upf
In 114.82 In.upf
CELL_PARAMETERS angstrom
4.717 0.000 0.000
2.358 4.085 0.000
2.358 1.362 7.918
ATOMIC_POSITIONS crystal
Pd 0.130 0.130 0.610
Sn 0.253 0.253 0.240
Ca 0.000 0.000 0.000
In 0.500 0.500 0.500
Pd 0.870 0.870 0.390
Pd 0.387 0.387 0.840
Pd 0.613 0.613 0.160
Sn 0.747 0.747 0.760

***

Entry 15:
! Ca2In2SnPd5 GGA-PBE relaxed; values from VASP
! SG: P4/mbm
! Formation enthalpy at 0 K in meV/atom: -582
&SYSTEM
  ibrav = 0, nat = 20, ntyp = 4
/
ATOMIC_SPECIES
Ca 40.08 Ca.upf
Pd 106.42 Pd.upf
In 114.82 In.upf
Sn 118.71 Sn.upf
CELL_PARAMETERS angstrom
-1.684 0.747 3.142
-9.416 -0.717 -4.876
-0.382 -10.377 2.263
ATOMIC_POSITIONS crystal
Ca 0.000 0.330 0.830
Ca 0.000 0.670 0.170
Pd 0.500 0.193 0.053
Ca 0.000 0.170 0.330
In 0.000 0.870 0.370
Pd 0.500 0.000 0.500
Pd 0.500 0.053 0.807
Pd 0.500 0.947 0.193
Pd 0.500 0.500 0.000
In 0.000 0.370 0.130
Pd 0.500 0.807 0.947
Sn 0.000 0.000 0.000
Sn 0.000 0.500 0.500
Pd 0.500 0.307 0.553
Ca 0.000 0.830 0.670
In 0.000 0.130 0.630
Pd 0.500 0.693 0.447
Pd 0.500 0.447 0.307
In 0.000 0.630 0.870
Pd 0.500 0.553 0.693

***

Entry 16:
! CaIn2SnPd4 GGA-PBE relaxed; values from VASP
! SG: R-3m
! Formation enthalpy at 0 K in meV/atom: -580
&SYSTEM
  ibrav = 0, nat = 8, ntyp = 4
/
ATOMIC_SPECIES
Pd 106.42 Pd.upf
Sn 118.71 Sn.upf
In 114.82 In.upf
Ca 40.08 Ca.upf
CELL_PARAMETERS angstrom
4.756 0.000 0.000
2.378 4.119 0.000
2.378 1.373 7.732
ATOMIC_POSITIONS crystal
Pd 0.383 0.383 0.852
Sn 0.500 0.500 0.500
In 0.745 0.745 0.765
Ca 0.000 0.000 0.000
In 0.255 0.255 0.235
Pd 0.131 0.131 0.607
Pd 0.869 0.869 0.393
Pd 0.617 0.617 0.148

***

Entry 17:
! SrCaIn2Pd GGA-PBE relaxed; values from VASP
! SG: P4/mmm
! Formation enthalpy at 0 K in meV/atom: -394
&SYSTEM
  ibrav = 0, nat = 5, ntyp = 4
/
ATOMIC_SPECIES
In 114.82 In.upf
Sr 87.62 Sr.upf
Pd 106.42 Pd.upf
Ca 40.08 Ca.upf
CELL_PARAMETERS angstrom
-1.003 -1.362 -5.042
5.221 -0.389 -0.933
-0.131 -5.137 1.413
ATOMIC_POSITIONS crystal
In 0.500 0.000 0.000
Sr 0.500 0.500 0.500
Pd 0.000 0.000 0.000
Ca 0.000 0.000 0.500
In 0.000 0.500 0.000

***

Entry 18:
! SrCaInPd GGA-PBE relaxed; values from VASP
! SG: F-43m
! Formation enthalpy at 0 K in meV/atom: -414
&SYSTEM
  ibrav = 0, nat = 4, ntyp = 4
/
ATOMIC_SPECIES
Ca 40.08 Ca.upf
Sr 87.62 Sr.upf
Pd 106.42 Pd.upf
In 114.82 In.upf
CELL_PARAMETERS angstrom
5.390 0.000 0.000
2.695 4.668 0.000
2.695 1.556 4.401
ATOMIC_POSITIONS crystal
Ca 0.250 0.250 0.250
Sr 0.750 0.750 0.750
Pd 0.000 0.000 0.000
In 0.500 0.500 0.500

***

Entry 19:
! Ca2TaInPd GGA-PBE relaxed; values from VASP
! SG: P4/mmm
! Formation enthalpy at 0 K in meV/atom: 1049
&SYSTEM
  ibrav = 0, nat = 5, ntyp = 4
/
ATOMIC_SPECIES
Ca 40.08 Ca.upf
In 114.82 In.upf
Pd 106.42 Pd.upf
Ta 180.95 Ta.upf
CELL_PARAMETERS angstrom
5.641 0.000 0.000
0.000 5.201 0.000
0.000 0.000 5.641
ATOMIC_POSITIONS crystal
Ca 0.000 0.000 0.500
In 0.000 0.000 0.000
Ca 0.500 0.000 0.000
Pd 0.500 0.500 0.500
Ta 0.000 0.500 0.000

***

Entry 20:
! CaTbInPd GGA-PBE relaxed; values from VASP
! SG: F-43m
! Formation enthalpy at 0 K in meV/atom: -553
&SYSTEM
  ibrav = 0, nat = 4, ntyp = 4
/
ATOMIC_SPECIES
In 114.82 In.upf
Ca 40.08 Ca.upf
Tb 158.93 Tb.upf
Pd 106.42 Pd.upf
CELL_PARAMETERS angstrom
-1.574 2.558 4.231
-4.983 1.355 0.510
-2.990 -2.381 3.509
ATOMIC_POSITIONS crystal
In 0.500 0.500 0.500
Ca 0.750 0.750 0.750
Tb 0.250 0.250 0.250
Pd 0.000 0.000 0.000

***

Calculated density (g/cm3)
3.7 7.9 5.9 8.8 7.2 7.8 4.6 6.4 6.4 3.5 6.4 6.2 6.7 8.9 7.8 8.9 5.1 5.2 4.8 7.1
E (eV/atom)
-2.85 -4.29 -3.54 -4.48 -4.70 -4.66 -3.64 -4.67 -4.35 -2.77 -5.00 -5.07 -4.21 -4.78 -4.53 -4.61 -3.26 -3.32 -3.71 -4.19